Entry from the Alexandria database: a geometry-optimized BaDyPdSe3 structure (GGA-PBE).

Unit cell a=8.713 b=4.247 c=9.472 alpha=90.00 beta=105.81 gamma=90.00
Fractional coordinates of all 12 atoms:
Ba  0.194  0.250  0.240
Ba  0.806  0.750  0.760
Dy  0.319  0.750  0.842
Dy  0.681  0.250  0.158
Pd  0.093  0.250  0.577
Pd  0.907  0.750  0.423
Se  0.108  0.250  0.872
Se  0.222  0.750  0.526
Se  0.451  0.750  0.160
Se  0.549  0.250  0.840
Se  0.778  0.250  0.474
Se  0.892  0.750  0.128

Properties
- Space group: P2_1/m, No. 11
- Formation energy without anion corrections: -1.530 eV per atom

=====

Entry from the Alexandria database: a geometry-optimized RbSb2RuI structure (GGA-PBE).

Unit cell a=5.111 b=5.111 c=6.364 alpha=90.00 beta=90.00 gamma=90.00
Fractional coordinates of all 5 atoms:
Rb  0.000  0.000  0.000
Sb  0.000  0.500  0.500
Sb  0.500  0.000  0.500
Ru  0.500  0.500  0.500
I  0.500  0.500  0.000

Properties
- Space group: P4/mmm, No. 123
- E above lowest polymorph: 0.0 meV/atom
- Formation energy without anion corrections: -0.059 eV per atom

=====

Entry from the Alexandria database: a geometry-optimized SrAlP structure (GGA-PBE).

Unit cell a=9.058 b=9.058 c=9.058 alpha=32.51 beta=32.51 gamma=32.51
Fractional coordinates of all 6 atoms:
Sr  0.106  0.106  0.106
Sr  0.894  0.894  0.894
Al  0.314  0.314  0.314
Al  0.686  0.686  0.686
P  0.226  0.226  0.226
P  0.774  0.774  0.774

Properties
- Space group: R-3m, No. 166
- Formation energy: -1.36 eV/f.u.

=====

Entry from the Alexandria database: a geometry-optimized KScHg structure (GGA-PBE).

Unit cell a=3.648 b=3.648 c=8.364 alpha=90.00 beta=90.00 gamma=120.00
Fractional coordinates of all 3 atoms:
K  0.000  0.000  0.000
Sc  0.667  0.333  0.413
Hg  0.333  0.667  0.656

Properties
- Space group: P3m1, No. 156
- E above lowest polymorph: 155.4 meV/atom
- Formation energy: 0.48 eV/f.u.

=====

Question: Which formula does entry 4 have?
Answer: KScHg